[1]
Entry from Alexandria: a relaxed InIr2Cl crystal (PBE-GGA).

Properties
DOS(E_F) ... 0.99 states/eV per atom
Space-group type ... Pmm2, No. 25
ΔE to the lowest computed polymorph ... 0 meV/atom
Total magnetization ... 0.0 μB/cell

Structure (extended XYZ):
```
4
Lattice="2.866 0.000 0.000 0.000 3.622 0.000 0.000 0.000 7.424" Properties=species:S:1:pos:R:3 pbc="T T T"
In 0.000 0.000 0.000
Ir 0.000 0.000 4.417
Ir 1.433 1.811 5.755
Cl 0.000 1.811 2.745
```

***

[2]
Entry from Alexandria: a relaxed MgV2Cr crystal (PBE-GGA).

Properties
DOS(E_F) ... 0.97 states/eV per atom
Space-group type ... I-42d, No. 122
Total magnetization ... 5.6 μB/cell
Calculated formation energy ... 0.829 eV per atom

Structure (extended XYZ):
```
16
Lattice="3.683 0.000 0.000 0.000 3.683 0.000 0.000 0.000 18.685" Properties=species:S:1:pos:R:3 pbc="T T T"
Mg 0.000 0.000 0.000
Mg 0.000 1.842 4.671
Mg 1.842 0.000 14.014
Mg 1.842 1.842 9.343
V 0.848 2.763 11.678
V 0.921 0.848 7.007
V 0.921 0.993 16.350
V 0.993 2.763 2.336
V 2.690 0.921 2.336
V 2.763 2.690 16.350
V 2.763 2.835 7.007
V 2.835 0.921 11.678
Cr 0.000 0.000 9.343
Cr 0.000 1.842 14.014
Cr 1.842 0.000 4.671
Cr 1.842 1.842 0.000
```

***

[3]
Entry from Alexandria: a relaxed ScReSbS2 crystal (PBE-GGA).

Properties
DOS(E_F) ... 1.26 states/eV per atom
Space-group type ... P4/mmm, No. 123
Total magnetization ... 4.3 μB/cell

Structure (extended XYZ):
```
5
Lattice="4.985 0.000 0.000 0.000 4.985 0.000 0.000 0.000 5.573" Properties=species:S:1:pos:R:3 pbc="T T T"
Sc 0.000 0.000 0.000
Re 2.492 2.492 0.000
Sb 0.000 0.000 2.786
S 0.000 2.492 2.786
S 2.492 0.000 2.786
```

***

[4]
Entry from Alexandria: a relaxed ScAl2W crystal (PBE-GGA).

Properties
DOS(E_F) ... 0.62 states/eV per atom
Space-group type ... P4/mmm, No. 123
ΔE to the lowest computed polymorph ... 103 meV/atom
Total magnetization ... 0.0 μB/cell
Calculated formation energy ... -0.100 eV per atom

Structure (extended XYZ):
```
4
Lattice="4.047 0.000 0.000 0.000 4.047 0.000 0.000 0.000 4.120" Properties=species:S:1:pos:R:3 pbc="T T T"
Sc 0.000 0.000 0.000
Al 0.000 2.023 2.060
Al 2.023 0.000 2.060
W 2.023 2.023 0.000
```

***

[5]
Entry from Alexandria: a relaxed MgPaTl2 crystal (PBE-GGA).

Properties
DOS(E_F) ... 1.41 states/eV per atom
Space-group type ... R-3m, No. 166
ΔE to the lowest computed polymorph ... 174 meV/atom
Total magnetization ... 2.3 μB/cell
Calculated formation energy ... 0.288 eV per atom

Structure (extended XYZ):
```
12
Lattice="3.278 0.000 0.000 -1.639 2.839 0.000 0.000 0.000 34.911" Properties=species:S:1:pos:R:3 pbc="T T T"
Mg 0.000 0.000 0.000
Mg 0.000 1.893 23.274
Mg 1.639 0.946 11.637
Pa 0.000 0.000 17.455
Pa 0.000 1.893 5.818
Pa 1.639 0.946 29.092
Tl 0.000 0.000 14.224
Tl 0.000 0.000 20.687
Tl 0.000 1.893 2.587
Tl 0.000 1.893 9.050
Tl 1.639 0.946 25.860
Tl 1.639 0.946 32.324
```

***

[6]
Entry from Alexandria: a relaxed TaInRe2 crystal (PBE-GGA).

Properties
DOS(E_F) ... 0.76 states/eV per atom
Space-group type ... R3m, No. 160
Total magnetization ... 0.0 μB/cell
Calculated formation energy ... 0.260 eV per atom

Structure (extended XYZ):
```
12
Lattice="2.891 0.000 0.000 -1.445 2.503 0.000 0.000 0.000 28.519" Properties=species:S:1:pos:R:3 pbc="T T T"
Ta 0.000 0.000 0.000
Ta 0.000 1.669 19.012
Ta 1.445 0.834 9.506
In 0.000 0.000 21.596
In 0.000 1.669 12.090
In 1.445 0.834 2.584
Re 0.000 0.000 7.111
Re 0.000 0.000 14.537
Re 0.000 1.669 5.030
Re 0.000 1.669 26.123
Re 1.445 0.834 16.617
Re 1.445 0.834 24.043
```

***

[7]
Entry from Alexandria: a relaxed TaTi5In2 crystal (PBE-GGA).

Properties
DOS(E_F) ... 1.32 states/eV per atom
Space-group type ... I4/mmm, No. 139
Total magnetization ... 2.1 μB/cell
Calculated formation energy ... -0.106 eV per atom

Structure (extended XYZ):
```
16
Lattice="4.736 0.000 0.000 0.000 4.736 0.000 0.000 0.000 13.096" Properties=species:S:1:pos:R:3 pbc="T T T"
Ta 0.000 0.000 0.000
Ta 2.368 2.368 6.548
Ti 0.000 0.000 6.548
Ti 0.000 2.368 1.498
Ti 0.000 2.368 5.051
Ti 0.000 2.368 8.046
Ti 0.000 2.368 11.599
Ti 2.368 0.000 1.498
Ti 2.368 0.000 5.051
Ti 2.368 0.000 8.046
Ti 2.368 0.000 11.599
Ti 2.368 2.368 0.000
In 0.000 0.000 3.282
In 0.000 0.000 9.814
In 2.368 2.368 3.266
In 2.368 2.368 9.830
```

***

[8]
Entry from Alexandria: a relaxed Rb2LiRuI6 crystal (PBE-GGA).

Properties
DOS(E_F) ... 0.98 states/eV per atom
Space-group type ... Fm-3m, No. 225
Total magnetization ... 1.0 μB/cell

Structure (extended XYZ):
```
10
Lattice="0.000 5.732 5.732 5.732 0.000 5.732 5.732 5.732 0.000" Properties=species:S:1:pos:R:3 pbc="T T T"
Rb 2.866 2.866 2.866
Rb 8.599 8.599 8.599
Li 0.000 0.000 0.000
Ru 5.732 5.732 5.732
I 5.732 5.732 3.001
I 5.732 3.001 5.732
I 8.464 5.732 5.732
I 3.001 5.732 5.732
I 5.732 8.464 5.732
I 5.732 5.732 8.464
```

***

[9]
Entry from Alexandria: a relaxed ThPdAu crystal (PBE-GGA).

Properties
DOS(E_F) ... 1.41 states/eV per atom
Space-group type ... P-6m2, No. 187
ΔE to the lowest computed polymorph ... 65 meV/atom
Total magnetization ... 0.0 μB/cell
Calculated formation energy ... -0.717 eV per atom

Structure (extended XYZ):
```
3
Lattice="4.685 0.000 0.000 -2.342 4.057 0.000 0.000 0.000 3.567" Properties=species:S:1:pos:R:3 pbc="T T T"
Th 0.000 0.000 0.000
Pd 2.342 1.352 1.783
Au 0.000 2.705 1.783
```

***

[10]
Entry from Alexandria: a relaxed NaMg2Tl crystal (PBE-GGA).

Properties
DOS(E_F) ... 0.40 states/eV per atom
Space-group type ... P4/mmm, No. 123
Total magnetization ... 0.0 μB/cell
Calculated formation energy ... 0.024 eV per atom

Structure (extended XYZ):
```
4
Lattice="3.895 0.000 0.000 0.000 3.895 0.000 0.000 0.000 6.758" Properties=species:S:1:pos:R:3 pbc="T T T"
Na 0.000 0.000 0.000
Mg 1.948 1.948 1.760
Mg 1.948 1.948 4.998
Tl 0.000 0.000 3.379
```

***

[11]
Entry from Alexandria: a relaxed UTiTe2O crystal (PBE-GGA).

Properties
DOS(E_F) ... 1.66 states/eV per atom
Space-group type ... P4/nmm, No. 129
Total magnetization ... 5.4 μB/cell

Structure (extended XYZ):
```
10
Lattice="3.860 0.000 0.000 0.000 3.860 0.000 0.000 0.000 14.543" Properties=species:S:1:pos:R:3 pbc="T T T"
U 0.965 0.965 1.276
U 2.895 2.895 13.267
Ti 0.965 0.965 8.289
Ti 2.895 2.895 6.255
Te 0.965 0.965 5.517
Te 0.965 0.965 11.535
Te 2.895 2.895 3.008
Te 2.895 2.895 9.027
O 0.965 2.895 0.000
O 2.895 0.965 0.000
```

***

[12]
Entry from Alexandria: a relaxed PrThP2 crystal (PBE-GGA).

Properties
DOS(E_F) ... 0.46 states/eV per atom
Space-group type ... R-3m, No. 166
ΔE to the lowest computed polymorph ... 0 meV/atom
Total magnetization ... 0.0 μB/cell
Calculated formation energy ... -1.557 eV per atom

Structure (extended XYZ):
```
12
Lattice="4.172 0.000 0.000 -2.086 3.613 0.000 0.000 0.000 20.440" Properties=species:S:1:pos:R:3 pbc="T T T"
Pr 0.000 0.000 0.000
Pr 0.000 2.409 13.627
Pr 2.086 1.204 6.813
Th 0.000 0.000 10.220
Th 0.000 2.409 3.407
Th 2.086 1.204 17.033
P 0.000 0.000 5.060
P 0.000 0.000 15.380
P 0.000 2.409 8.566
P 0.000 2.409 18.687
P 2.086 1.204 1.753
P 2.086 1.204 11.873
```

***

[13]
Entry from Alexandria: a relaxed CaSiAu3 crystal (PBE-GGA).

Properties
DOS(E_F) ... 0.34 states/eV per atom
Space-group type ... I4mm, No. 107
ΔE to the lowest computed polymorph ... 0 meV/atom
Total magnetization ... 0.0 μB/cell

Structure (extended XYZ):
```
10
Lattice="4.506 0.000 0.000 0.000 4.506 0.000 0.000 0.000 10.308" Properties=species:S:1:pos:R:3 pbc="T T T"
Ca 0.000 0.000 0.000
Ca 2.253 2.253 5.154
Si 0.000 0.000 3.687
Si 2.253 2.253 8.841
Au 0.000 0.000 6.051
Au 0.000 2.253 2.685
Au 0.000 2.253 7.838
Au 2.253 0.000 2.685
Au 2.253 0.000 7.838
Au 2.253 2.253 0.897
```

***

no.,uncorrected energy (eV per atom)
1,-5.403
2,-6.535
3,-4.838
4,-6.792
5,-3.668
6,-9.612
7,-7.206
8,-3.010
9,-6.014
10,-1.695
11,-7.546
12,-7.312
13,-3.960